# 1
Dy2TlSi: optimized geometry, GGA-PBE.

## Properties
VASP energy: -18.5 eV/cell
DOS(E_F): 1.13 states/eV/atom
Uncorrected formation energy: -150.1 kJ/mol of formula units

Cell lengths 3.747, 3.747, 6.979 Å; angles 90.00, 90.00, 90.00 degrees
Space group P4/mmm (No. 123)
One atom of each set of equivalent atoms:
Dy: 0.000 0.000 0.219
Tl: 0.500 0.500 0.500
Si: 0.500 0.500 0.000

# 2
Y2SnAs: optimized geometry, GGA-PBE.

## Properties
VASP energy: -98.6 eV/cell
ΔE_f: -0.770 eV/atom
DOS(E_F): 0.43 states/eV/atom

Cell lengths 7.928, 7.928, 6.965 Å; angles 90.00, 90.00, 90.00 degrees
Space group I-42d (No. 122)
One atom of each set of equivalent atoms:
Y: 0.224 0.750 0.125
Sn: 0.000 0.000 0.500
As: 0.000 0.000 0.000

# 3
HfMgFeCu2: optimized geometry, GGA-PBE.

## Properties
VASP energy: -24.3 eV/cell
ΔE_f: 0.788 eV/atom
DOS(E_F): 1.05 states/eV/atom

Cell lengths 4.452, 4.452, 4.467 Å; angles 90.00, 90.00, 90.00 degrees
Space group P4/mmm (No. 123)
One atom of each set of equivalent atoms:
Hf: 0.000 0.000 0.000
Mg: 0.500 0.500 0.000
Fe: 0.500 0.500 0.500
Cu: 0.000 0.500 0.500

# 4
ErThCo: optimized geometry, GGA-PBE.

## Properties
VASP energy: -19.5 eV/cell
ΔE_f: -0.129 eV/atom
DOS(E_F): 1.22 states/eV/atom

Cell lengths 3.8342, 3.8342, 6.1579 Å; angles 90.00, 90.00, 120.00 degrees
Space group P3m1 (No. 156)
One atom of each set of equivalent atoms:
Er: 0.0000 0.0000 0.0000
Th: 0.6667 0.3333 0.5071
Co: 0.3333 0.6667 0.7400

Q: Which value of DOS(E_F) does entry 1 give?
A: 1.13 states/eV/atom

Q: Look up the VASP energy of the fourth one.
A: -19.5 eV/cell